A plane-wave DFT calculation with PBE was carried out for a relaxed SmLu3 crystal.

a b c (Å): 4.9517 4.9517 4.9517
angles (deg): 90.00 90.00 90.00
Space group Pm-3m (No. 221)
Symmetry-distinct sites (fractional):
Sm (0.0000, 0.0000, 0.0000)
Lu (0.0000, 0.5000, 0.5000)

Output
* volume: 30.35 Å³/atom
* total magnetic moment: 0.0 Bohr magnetons per cell
* energy relative to the lowest polymorph listed for this composition: 29 meV per atom